# ZrSbP2O PBEsol relaxed
data_ZrSbP2O
_chemical_formula_sum 'Zr1 Sb1 P2 O1'
_cell_length_a 5.1421
_cell_length_b 5.1421
_cell_length_c 3.9123
_cell_angle_alpha 90.00
_cell_angle_beta 90.00
_cell_angle_gamma 90.00
_space_group_name_H-M_alt 'P 4/m m m'
_space_group_IT_number 123
_space_group_name_Hall '-P 4 2'
loop_
_atom_site_label
_atom_site_type_symbol
_atom_site_fract_x
_atom_site_fract_y
_atom_site_fract_z
Zr1 Zr 0.0000 0.0000 0.0000
Sb1 Sb 0.5000 0.5000 0.5000
P1 P 0.0000 0.5000 0.0000
O1 O 0.0000 0.0000 0.5000
# ρ = 4.67 g/cm3
# DFT total energy = -6.620 eV/atom